{
  "formula": "BaY2Cd",
  "functional": "PBE",
  "state": "optimized geometry",
  "vol_a3_per_atom": 35.1,
  "lattice_angstrom": [[11.632, 0.003, 0.002], [11.021, 3.720, 0.002], [11.021, 1.811, 3.249]],
  "species": ["Ba", "Cd", "Y", "Y"],
  "fractional_positions": [[0.250, 0.250, 0.250], [0.750, 0.750, 0.750], [0.014, 0.014, 0.014], [0.486, 0.486, 0.486]]
}

***

{
  "formula": "Li2CoNi",
  "functional": "PBE",
  "state": "optimized geometry",
  "vol_a3_per_atom": 11.9,
  "lattice_angstrom": [[-3.107, 2.078, -2.953], [-4.118, 1.642, 1.743], [4.644, 0.279, 1.025]],
  "species": ["Co", "Li", "Li", "Ni"],
  "fractional_positions": [[0.750, 0.250, 0.500], [0.000, 0.000, 0.000], [0.500, 0.500, 0.000], [0.250, 0.750, 0.500]]
}

***

{
  "formula": "BaY2Sc",
  "functional": "PBE",
  "state": "optimized geometry",
  "vol_a3_per_atom": 34.7,
  "lattice_angstrom": [[-4.116, -2.455, 3.287], [1.460, -3.904, 4.049], [-0.416, 1.363, 5.634]],
  "species": ["Ba", "Sc", "Y", "Y"],
  "fractional_positions": [[0.500, 0.500, 0.500], [0.750, 0.750, 0.750], [0.000, 0.000, 0.000], [0.250, 0.250, 0.250]]
}

***

{
  "formula": "LiTcI2",
  "functional": "PBE",
  "state": "optimized geometry",
  "vol_a3_per_atom": 29.8,
  "raw_formation_energy_ev_per_atom": 0.212,
  "lattice_angstrom": [[-3.419, 5.404, 0.048], [-1.803, -1.087, -6.039], [-7.259, -0.799, -1.075]],
  "species": ["I", "I", "I", "I", "Tc", "Tc", "Li", "Li"],
  "fractional_positions": [[0.641, 0.125, 0.250], [0.109, 0.625, 0.250], [0.375, 0.359, 0.750], [0.875, 0.891, 0.750], [0.000, 0.000, 0.000], [0.750, 0.250, 0.500], [0.500, 0.500, 0.000], [0.250, 0.750, 0.500]]
}

***

Number 1: calculated total energy -3.89 eV per atom. Number 2: calculated total energy -4.00 eV per atom. Number 3: calculated total energy -4.98 eV per atom. Number 4: calculated total energy -3.63 eV per atom.